# BeGa2O4 GGA-PBEsol optimized geometry
data_BeGa2O4
_cell_length_a 3.0083
_cell_length_b 7.7498
_cell_length_c 7.7514
_cell_angle_alpha 119.21
_cell_angle_beta 90.00
_cell_angle_gamma 90.00
_space_group_name_H-M_alt 'P 1'
_space_group_IT_number 1
_space_group_name_Hall 'P 1'
loop_
_atom_site_label
_atom_site_type_symbol
_atom_site_fract_x
_atom_site_fract_y
_atom_site_fract_z
_atom_site_occupancy
Be1 Be 0.2500 0.1760 0.7689 1
Be2 Be 0.7500 0.8240 0.2311 1
Ga1 Ga 0.2500 0.2064 0.3968 1
Ga2 Ga 0.2500 0.5846 0.8390 1
Ga3 Ga 0.7500 0.7936 0.6032 1
Ga4 Ga 0.7500 0.4154 0.1610 1
O1 O 0.2500 0.3189 0.6668 1
O2 O 0.7500 0.6811 0.3332 1
O3 O 0.2500 0.7016 0.6758 1
O4 O 0.2500 0.3320 0.0099 1
O5 O 0.2500 0.9396 0.2803 1
O6 O 0.7500 0.2984 0.3242 1
O7 O 0.7500 0.6680 0.9901 1
O8 O 0.7500 0.0604 0.7197 1
# N(E_F): 0.0 states/eV per cell
# raw formation energy: -2.10 eV per atom
# total moment: 0.00 μB/cell
# E_tot: -6.63 eV/atom
# ρ: 4.47 g cm⁻³

# BeSe2IBr GGA-PBEsol optimized geometry
data_BeSe2IBr
_cell_length_a 5.3745
_cell_length_b 5.3745
_cell_length_c 5.4489
_cell_angle_alpha 90.00
_cell_angle_beta 90.00
_cell_angle_gamma 90.00
_space_group_name_H-M_alt 'P 1'
_space_group_IT_number 1
_space_group_name_Hall 'P 1'
loop_
_atom_site_label
_atom_site_type_symbol
_atom_site_fract_x
_atom_site_fract_y
_atom_site_fract_z
_atom_site_occupancy
I1 I 0.0000 0.0000 0.0000 1
Be1 Be 0.5000 0.5000 0.5000 1
Se1 Se 0.0000 0.5000 0.0000 1
Se2 Se 0.5000 0.0000 0.0000 1
Br1 Br 0.0000 0.0000 0.5000 1
# N(E_F): 3.2 states/eV per cell
# raw formation energy: 1.10 eV per atom
# total moment: 0.19 μB/cell
# E_tot: -1.97 eV/atom
# ρ: 3.94 g cm⁻³

# HfSnB2 GGA-PBEsol optimized geometry
data_HfSnB2
_cell_length_a 5.3818
_cell_length_b 5.3818
_cell_length_c 5.3818
_cell_angle_alpha 107.32
_cell_angle_beta 110.56
_cell_angle_gamma 110.56
_space_group_name_H-M_alt 'P 1'
_space_group_IT_number 1
_space_group_name_Hall 'P 1'
loop_
_atom_site_label
_atom_site_type_symbol
_atom_site_fract_x
_atom_site_fract_y
_atom_site_fract_z
_atom_site_occupancy
B1 B 0.9873 0.6123 0.1250 1
B2 B 0.0127 0.1377 0.6250 1
B3 B 0.5127 0.3750 0.3877 1
B4 B 0.4873 0.8750 0.8623 1
Hf1 Hf 0.0000 0.0000 0.0000 1
Hf2 Hf 0.5000 0.7500 0.2500 1
Sn1 Sn 0.0000 0.5000 0.5000 1
Sn2 Sn 0.5000 0.2500 0.7500 1
# energy relative to the elements: 0.522 eV/atom
# N(E_F): 3.6 states/eV per cell
# total moment: 0.00 μB/cell
# E_tot: -6.68 eV/atom
# ρ: 8.83 g cm⁻³

# Ca2NiRu GGA-PBEsol optimized geometry
data_Ca2NiRu
_cell_length_a 3.2013
_cell_length_b 3.2013
_cell_length_c 8.7265
_cell_angle_alpha 79.43
_cell_angle_beta 79.43
_cell_angle_gamma 60.00
_space_group_name_H-M_alt 'P 1'
_space_group_IT_number 1
_space_group_name_Hall 'P 1'
loop_
_atom_site_label
_atom_site_type_symbol
_atom_site_fract_x
_atom_site_fract_y
_atom_site_fract_z
_atom_site_occupancy
Ca1 Ca 0.2505 0.2505 0.2485 1
Ca2 Ca 0.7495 0.7495 0.7515 1
Ni1 Ni 0.5000 0.5000 0.5000 1
Ru1 Ru 0.0000 0.0000 0.0000 1
# energy relative to the elements: 0.547 eV/atom
# N(E_F): 3.0 states/eV per cell
# total moment: 0.00 μB/cell
# E_tot: -4.60 eV/atom
# ρ: 5.26 g cm⁻³